An optimized crystal structure of TmAgW2O8, computed with PBE with a Hubbard U.

The space group is C2/m (No. 12) and the conventional cell measures 9.969, 10.807 and 7.262 Å, with angles of 90.00, 126.93 and 90.00 degrees. The distinct sites, in fractional coordinates, are Tm at (0.000, 0.199, 0.000), Ag at (0.181, 0.000, 0.518), W at (0.000, 0.336, 0.500), W at (0.212, 0.500, 0.972), O at (0.022, 0.500, 0.341), O at (0.047, 0.235, 0.347), O at (0.053, 0.000, 0.862), O at (0.169, 0.369, 0.089) and O at (0.230, 0.374, 0.760).

The calculation puts the density of states at the Fermi level at 0.00 states/eV per cell. Its total moment is 0.00 μB/atom. The electronic total energy comes out at -0.266 Ha/atom.